VASP calculation (PBE with a Hubbard U) on a relaxed structure of V2OF5.

Structure (CIF):
```
data_V2OF5
_chemical_formula_sum 'V6 O3 F15'
_cell_length_a 8.5365
_cell_length_b 8.5365
_cell_length_c 4.6236
_cell_angle_alpha 90.00
_cell_angle_beta 90.00
_cell_angle_gamma 120.00
_symmetry_space_group_name_H-M 'P 3'
_symmetry_Int_Tables_number 143
loop_
_symmetry_equiv_pos_as_xyz
'x,y,z'
'-y,x-y,z'
'-x+y,-x,z'
loop_
_atom_site_label
_atom_site_type_symbol
_atom_site_fract_x
_atom_site_fract_y
_atom_site_fract_z
_atom_site_occupancy
V1 V 0.0029 0.3355 0.0000 1
V2 V 0.0084 0.6851 0.4765 1
O1 O 0.1177 0.8690 0.2592 1
F1 F 0.0979 0.5499 0.2555 1
F2 F 0.2171 0.7822 0.7496 1
F3 F 0.2376 0.1217 0.7492 1
F4 F 0.4343 0.2157 0.2508 1
F5 F 0.5345 0.4508 0.7406 1
```

**DFT total energy**: -6.28 eV per atom
**M_tot**: 3.000 μB/f.u.
**Polymorph energy (0 for the lowest one)**: 44 meV/atom